Entry 1:
DFT (PBE-GGA) results for Ta2TlPb after structural relaxation.

* calculated total energy: -6.526 eV per atom
* distance to the lowest polymorph of the same formula: 0.561 eV per atom
* spin magnetization: 0.0 μB/f.u.
* formation enthalpy at 0 K: 0.919 eV/atom

Lattice parameters (Å, degrees): 5.008 5.008 5.008 60.00 60.00 60.00
Sites, in units of the cell vectors:
1 Pb 0.500 0.500 0.500
2 Ta 0.000 0.000 0.000
3 Ta 0.250 0.250 0.250
4 Tl 0.750 0.750 0.750

***

Entry 2:
DFT (PBE-GGA) results for AlRe2Tc after structural relaxation.

* calculated total energy: -9.811 eV per atom
* spin magnetization: 0.0 μB/f.u.
* formation enthalpy at 0 K: -0.060 eV/atom

Lattice parameters (Å, degrees): 4.063 2.794 5.833 62.73 90.00 90.00
Sites, in units of the cell vectors:
1 Re 0.000 0.007 0.993
2 Re 0.000 0.493 0.507
3 Tc 0.500 0.250 0.250
4 Al 0.500 0.750 0.750

***

Look up the spin magnetization of the first one.
0.0 μB/f.u.